Run P
Compound: FeReAsPt
Source: OQMD
Functional: PBE-GGA
Structure: optimized geometry

- ρ (g cm⁻³) = 14.65

Lattice parameters (Å, degrees): 6.146 6.146 6.146 90.00 90.00 90.00
Fractional positions:
Fe (0.000, 0.000, 0.000)
Fe (0.000, 0.500, 0.500)
Fe (0.500, 0.000, 0.500)
Fe (0.500, 0.500, 0.000)
Re (0.000, 0.000, 0.500)
Re (0.000, 0.500, 0.000)
Re (0.500, 0.000, 0.000)
Re (0.500, 0.500, 0.500)
As (0.250, 0.250, 0.750)
As (0.250, 0.750, 0.250)
As (0.750, 0.250, 0.250)
As (0.750, 0.750, 0.750)
Pt (0.250, 0.250, 0.250)
Pt (0.250, 0.750, 0.750)
Pt (0.750, 0.250, 0.750)
Pt (0.750, 0.750, 0.250)

Run Q
Compound: FeReAsPt
Source: OQMD
Functional: PBE-GGA
Structure: optimized geometry

- ρ (g cm⁻³) = 14.13

Lattice parameters (Å, degrees): 6.221 6.221 6.221 90.00 90.00 90.00
Fractional positions:
Fe (0.000, 0.000, 0.000)
Fe (0.000, 0.500, 0.500)
Fe (0.500, 0.000, 0.500)
Fe (0.500, 0.500, 0.000)
Re (0.250, 0.250, 0.250)
Re (0.250, 0.750, 0.750)
Re (0.750, 0.250, 0.750)
Re (0.750, 0.750, 0.250)
As (0.250, 0.250, 0.750)
As (0.250, 0.750, 0.250)
As (0.750, 0.250, 0.250)
As (0.750, 0.750, 0.750)
Pt (0.000, 0.000, 0.500)
Pt (0.000, 0.500, 0.000)
Pt (0.500, 0.000, 0.000)
Pt (0.500, 0.500, 0.500)

Of them, run P has the highest stability.

Run P
Compound: ScFeAsPt
Source: OQMD
Functional: PBE-GGA
Structure: optimized geometry

- ρ (g cm⁻³) = 9.48

Lattice parameters (Å, degrees): 6.380 6.380 6.380 90.00 90.00 90.00
Fractional positions:
Sc (0.000, 0.000, 0.000)
Sc (0.000, 0.500, 0.500)
Sc (0.500, 0.000, 0.500)
Sc (0.500, 0.500, 0.000)
Fe (0.000, 0.000, 0.500)
Fe (0.000, 0.500, 0.000)
Fe (0.500, 0.000, 0.000)
Fe (0.500, 0.500, 0.500)
As (0.250, 0.250, 0.250)
As (0.250, 0.750, 0.750)
As (0.750, 0.250, 0.750)
As (0.750, 0.750, 0.250)
Pt (0.250, 0.250, 0.750)
Pt (0.250, 0.750, 0.250)
Pt (0.750, 0.250, 0.250)
Pt (0.750, 0.750, 0.750)

Run Q
Compound: ScFeAsPt
Source: OQMD
Functional: PBE-GGA
Structure: optimized geometry

- ρ (g cm⁻³) = 9.83

Lattice parameters (Å, degrees): 6.303 6.303 6.303 90.00 90.00 90.00
Fractional positions:
Sc (0.000, 0.000, 0.000)
Sc (0.000, 0.500, 0.500)
Sc (0.500, 0.000, 0.500)
Sc (0.500, 0.500, 0.000)
Fe (0.250, 0.250, 0.750)
Fe (0.250, 0.750, 0.250)
Fe (0.750, 0.250, 0.250)
Fe (0.750, 0.750, 0.750)
As (0.000, 0.000, 0.500)
As (0.000, 0.500, 0.000)
As (0.500, 0.000, 0.000)
As (0.500, 0.500, 0.500)
Pt (0.250, 0.250, 0.250)
Pt (0.250, 0.750, 0.750)
Pt (0.750, 0.250, 0.750)
Pt (0.750, 0.750, 0.250)

Of them, run P has the highest stability.

Run P
Compound: FeAsPtW
Source: OQMD
Functional: PBE-GGA
Structure: optimized geometry

- ρ (g cm⁻³) = 14.27

Lattice parameters (Å, degrees): 6.190 6.190 6.190 90.00 90.00 90.00
Fractional positions:
Fe (0.000, 0.000, 0.000)
Fe (0.000, 0.500, 0.500)
Fe (0.500, 0.000, 0.500)
Fe (0.500, 0.500, 0.000)
As (0.250, 0.250, 0.750)
As (0.250, 0.750, 0.250)
As (0.750, 0.250, 0.250)
As (0.750, 0.750, 0.750)
Pt (0.250, 0.250, 0.250)
Pt (0.250, 0.750, 0.750)
Pt (0.750, 0.250, 0.750)
Pt (0.750, 0.750, 0.250)
W (0.000, 0.000, 0.500)
W (0.000, 0.500, 0.000)
W (0.500, 0.000, 0.000)
W (0.500, 0.500, 0.500)

Run Q
Compound: FeAsPtW
Source: OQMD
Functional: PBE-GGA
Structure: optimized geometry

- ρ (g cm⁻³) = 13.71

Lattice parameters (Å, degrees): 6.274 6.274 6.274 90.00 90.00 90.00
Fractional positions:
Fe (0.000, 0.000, 0.000)
Fe (0.000, 0.500, 0.500)
Fe (0.500, 0.000, 0.500)
Fe (0.500, 0.500, 0.000)
As (0.250, 0.250, 0.750)
As (0.250, 0.750, 0.250)
As (0.750, 0.250, 0.250)
As (0.750, 0.750, 0.750)
Pt (0.000, 0.000, 0.500)
Pt (0.000, 0.500, 0.000)
Pt (0.500, 0.000, 0.000)
Pt (0.500, 0.500, 0.500)
W (0.250, 0.250, 0.250)
W (0.250, 0.750, 0.750)
W (0.750, 0.250, 0.750)
W (0.750, 0.750, 0.250)

Of them, run P has the highest stability.

Run P
Compound: YFeAsPt
Source: OQMD
Functional: PBE-GGA
Structure: optimized geometry

- ρ (g cm⁻³) = 9.80

Lattice parameters (Å, degrees): 6.550 6.550 6.550 90.00 90.00 90.00
Fractional positions:
Y (0.000, 0.000, 0.000)
Y (0.000, 0.500, 0.500)
Y (0.500, 0.000, 0.500)
Y (0.500, 0.500, 0.000)
Fe (0.000, 0.000, 0.500)
Fe (0.000, 0.500, 0.000)
Fe (0.500, 0.000, 0.000)
Fe (0.500, 0.500, 0.500)
As (0.250, 0.250, 0.250)
As (0.250, 0.750, 0.750)
As (0.750, 0.250, 0.750)
As (0.750, 0.750, 0.250)
Pt (0.250, 0.250, 0.750)
Pt (0.250, 0.750, 0.250)
Pt (0.750, 0.250, 0.250)
Pt (0.750, 0.750, 0.750)

Run Q
Compound: YFeAsPt
Source: OQMD
Functional: PBE-GGA
Structure: optimized geometry

- ρ (g cm⁻³) = 9.77

Lattice parameters (Å, degrees): 6.558 6.558 6.558 90.00 90.00 90.00
Fractional positions:
Y (0.000, 0.000, 0.000)
Y (0.000, 0.500, 0.500)
Y (0.500, 0.000, 0.500)
Y (0.500, 0.500, 0.000)
Fe (0.250, 0.250, 0.750)
Fe (0.250, 0.750, 0.250)
Fe (0.750, 0.250, 0.250)
Fe (0.750, 0.750, 0.750)
As (0.000, 0.000, 0.500)
As (0.000, 0.500, 0.000)
As (0.500, 0.000, 0.000)
As (0.500, 0.500, 0.500)
Pt (0.250, 0.250, 0.250)
Pt (0.250, 0.750, 0.750)
Pt (0.750, 0.250, 0.750)
Pt (0.750, 0.750, 0.250)

Of them, run P has the highest stability.

Run P
Compound: ZrFeAsPt
Source: OQMD
Functional: PBE-GGA
Structure: optimized geometry

- ρ (g cm⁻³) = 10.48

Lattice parameters (Å, degrees): 6.417 6.417 6.417 90.00 90.00 90.00
Fractional positions:
Zr (0.000, 0.000, 0.000)
Zr (0.000, 0.500, 0.500)
Zr (0.500, 0.000, 0.500)
Zr (0.500, 0.500, 0.000)
Fe (0.250, 0.250, 0.750)
Fe (0.250, 0.750, 0.250)
Fe (0.750, 0.250, 0.250)
Fe (0.750, 0.750, 0.750)
As (0.000, 0.000, 0.500)
As (0.000, 0.500, 0.000)
As (0.500, 0.000, 0.000)
As (0.500, 0.500, 0.500)
Pt (0.250, 0.250, 0.250)
Pt (0.250, 0.750, 0.750)
Pt (0.750, 0.250, 0.750)
Pt (0.750, 0.750, 0.250)

Run Q
Compound: ZrFeAsPt
Source: OQMD
Functional: PBE-GGA
Structure: optimized geometry

- ρ (g cm⁻³) = 10.39

Lattice parameters (Å, degrees): 6.436 6.436 6.436 90.00 90.00 90.00
Fractional positions:
Zr (0.000, 0.000, 0.000)
Zr (0.000, 0.500, 0.500)
Zr (0.500, 0.000, 0.500)
Zr (0.500, 0.500, 0.000)
Fe (0.000, 0.000, 0.500)
Fe (0.000, 0.500, 0.000)
Fe (0.500, 0.000, 0.000)
Fe (0.500, 0.500, 0.500)
As (0.250, 0.250, 0.250)
As (0.250, 0.750, 0.750)
As (0.750, 0.250, 0.750)
As (0.750, 0.750, 0.250)
Pt (0.250, 0.250, 0.750)
Pt (0.250, 0.750, 0.250)
Pt (0.750, 0.250, 0.250)
Pt (0.750, 0.750, 0.750)

Of them, run Q has the highest stability.

Run P
Compound: ZrFeReAs
Source: OQMD
Functional: PBE-GGA
Structure: optimized geometry

- ρ (g cm⁻³) = 11.23

Lattice parameters (Å, degrees): 6.227 6.227 6.227 90.00 90.00 90.00
Fractional positions:
Zr (0.000, 0.000, 0.000)
Zr (0.000, 0.500, 0.500)
Zr (0.500, 0.000, 0.500)
Zr (0.500, 0.500, 0.000)
Fe (0.250, 0.250, 0.750)
Fe (0.250, 0.750, 0.250)
Fe (0.750, 0.250, 0.250)
Fe (0.750, 0.750, 0.750)
Re (0.250, 0.250, 0.250)
Re (0.250, 0.750, 0.750)
Re (0.750, 0.250, 0.750)
Re (0.750, 0.750, 0.250)
As (0.000, 0.000, 0.500)
As (0.000, 0.500, 0.000)
As (0.500, 0.000, 0.000)
As (0.500, 0.500, 0.500)

Run Q
Compound: ZrFeReAs
Source: OQMD
Functional: PBE-GGA
Structure: optimized geometry

- ρ (g cm⁻³) = 10.42

Lattice parameters (Å, degrees): 6.385 6.385 6.385 90.00 90.00 90.00
Fractional positions:
Zr (0.000, 0.000, 0.000)
Zr (0.000, 0.500, 0.500)
Zr (0.500, 0.000, 0.500)
Zr (0.500, 0.500, 0.000)
Fe (0.000, 0.000, 0.500)
Fe (0.000, 0.500, 0.000)
Fe (0.500, 0.000, 0.000)
Fe (0.500, 0.500, 0.500)
Re (0.250, 0.250, 0.750)
Re (0.250, 0.750, 0.250)
Re (0.750, 0.250, 0.250)
Re (0.750, 0.750, 0.750)
As (0.250, 0.250, 0.250)
As (0.250, 0.750, 0.750)
As (0.750, 0.250, 0.750)
As (0.750, 0.750, 0.250)

Of them, run P has the highest stability.

Run P
Compound: ScFeTcAs
Source: OQMD
Functional: PBE-GGA
Structure: optimized geometry

- ρ (g cm⁻³) = 8.00

Lattice parameters (Å, degrees): 6.102 6.102 6.102 90.00 90.00 90.00
Fractional positions:
Sc (0.000, 0.000, 0.000)
Sc (0.000, 0.500, 0.500)
Sc (0.500, 0.000, 0.500)
Sc (0.500, 0.500, 0.000)
Fe (0.250, 0.250, 0.750)
Fe (0.250, 0.750, 0.250)
Fe (0.750, 0.250, 0.250)
Fe (0.750, 0.750, 0.750)
Tc (0.250, 0.250, 0.250)
Tc (0.250, 0.750, 0.750)
Tc (0.750, 0.250, 0.750)
Tc (0.750, 0.750, 0.250)
As (0.000, 0.000, 0.500)
As (0.000, 0.500, 0.000)
As (0.500, 0.000, 0.000)
As (0.500, 0.500, 0.500)

Run Q
Compound: ScFeTcAs
Source: OQMD
Functional: PBE-GGA
Structure: optimized geometry

- ρ (g cm⁻³) = 7.32

Lattice parameters (Å, degrees): 6.287 6.287 6.287 90.00 90.00 90.00
Fractional positions:
Sc (0.000, 0.000, 0.000)
Sc (0.000, 0.500, 0.500)
Sc (0.500, 0.000, 0.500)
Sc (0.500, 0.500, 0.000)
Fe (0.000, 0.000, 0.500)
Fe (0.000, 0.500, 0.000)
Fe (0.500, 0.000, 0.000)
Fe (0.500, 0.500, 0.500)
Tc (0.250, 0.250, 0.750)
Tc (0.250, 0.750, 0.250)
Tc (0.750, 0.250, 0.250)
Tc (0.750, 0.750, 0.750)
As (0.250, 0.250, 0.250)
As (0.250, 0.750, 0.750)
As (0.750, 0.250, 0.750)
As (0.750, 0.750, 0.250)

Of them, run P has the highest stability.